Record 1
Material: MnTcMoAs
Method: DFT, PBE
State: relaxed

- Final energy: -8.795 eV per atom
- V: 226 Å³ per cell

Structure (CIF):
```
data_MnTcMoAs
_cell_length_a 6.0919
_cell_length_b 6.0919
_cell_length_c 6.0919
_cell_angle_alpha 90.00
_cell_angle_beta 90.00
_cell_angle_gamma 90.00
_symmetry_space_group_name_H-M 'F -4 3 m'
_symmetry_Int_Tables_number 216
_symmetry_space_group_name_Hall 'F -4 2 3'
loop_
_atom_site_label
_atom_site_type_symbol
_atom_site_fract_x
_atom_site_fract_y
_atom_site_fract_z
Mn1 Mn 0.0000 0.0000 0.0000
Tc1 Tc 0.2500 0.2500 0.2500
Mo1 Mo 0.2500 0.2500 0.7500
As1 As 0.0000 0.0000 0.5000
```

***

Record 2
Material: MgPb2Se
Method: DFT, PBE
State: relaxed

- E_form (uncorrected): -126 meV/atom
- V: 107 Å³ per cell

Structure (CIF):
```
data_MgPb2Se
_cell_length_a 3.7137
_cell_length_b 5.2247
_cell_length_c 5.5168
_cell_angle_alpha 90.00
_cell_angle_beta 90.00
_cell_angle_gamma 90.00
_symmetry_space_group_name_H-M 'P m m m'
_symmetry_Int_Tables_number 47
_symmetry_space_group_name_Hall '-P 2 2'
loop_
_atom_site_label
_atom_site_type_symbol
_atom_site_fract_x
_atom_site_fract_y
_atom_site_fract_z
Mg1 Mg 0.0000 0.0000 0.0000
Pb1 Pb 0.0000 0.5000 0.5000
Pb2 Pb 0.5000 0.5000 0.0000
Se1 Se 0.5000 0.0000 0.5000
```

***

Record 3
Material: As2IrSeBr
Method: DFT, PBE
State: relaxed

- E_form (uncorrected): 1521 meV/atom
- V: 123 Å³ per cell
- Energy above the lowest structure with this stoichiometry: 983 meV/atom

Structure (CIF):
```
data_As2IrSeBr
_cell_length_a 5.0257
_cell_length_b 5.0257
_cell_length_c 4.8591
_cell_angle_alpha 90.00
_cell_angle_beta 90.00
_cell_angle_gamma 90.00
_symmetry_space_group_name_H-M 'P 4/m m m'
_symmetry_Int_Tables_number 123
_symmetry_space_group_name_Hall '-P 4 2'
loop_
_atom_site_label
_atom_site_type_symbol
_atom_site_fract_x
_atom_site_fract_y
_atom_site_fract_z
As1 As 0.0000 0.5000 0.0000
Ir1 Ir 0.0000 0.0000 0.5000
Se1 Se 0.5000 0.5000 0.0000
Br1 Br 0.5000 0.5000 0.5000
```

***

Record 4
Material: Tc2TeSe
Method: DFT, PBE
State: relaxed

- E_form (uncorrected): 705 meV/atom
- V: 143 Å³ per cell
- Energy above the lowest structure with this stoichiometry: 717 meV/atom

Structure (CIF):
```
data_Tc2TeSe
_cell_length_a 3.1645
_cell_length_b 5.3409
_cell_length_c 8.4692
_cell_angle_alpha 90.00
_cell_angle_beta 90.00
_cell_angle_gamma 90.00
_symmetry_space_group_name_H-M 'I m m m'
_symmetry_Int_Tables_number 71
_symmetry_space_group_name_Hall '-I 2 2'
loop_
_atom_site_label
_atom_site_type_symbol
_atom_site_fract_x
_atom_site_fract_y
_atom_site_fract_z
Tc1 Tc 0.0000 0.0000 0.2250
Te1 Te 0.0000 0.5000 0.0000
Se1 Se 0.0000 0.5000 0.5000
```

***

Record 5
Material: CdSbRh2
Method: DFT, PBE
State: relaxed

- E_form (uncorrected): -190 meV/atom
- V: 141 Å³ per cell

Structure (CIF):
```
data_CdSbRh2
_cell_length_a 9.8898
_cell_length_b 3.1917
_cell_length_c 4.5627
_cell_angle_alpha 90.00
_cell_angle_beta 102.44
_cell_angle_gamma 90.00
_symmetry_space_group_name_H-M 'C 1 m 1'
_symmetry_Int_Tables_number 8
_symmetry_space_group_name_Hall 'C -2y'
loop_
_atom_site_label
_atom_site_type_symbol
_atom_site_fract_x
_atom_site_fract_y
_atom_site_fract_z
Cd1 Cd 0.0000 0.0000 0.0000
Sb1 Sb 0.2565 0.5000 0.4100
Rh1 Rh 0.2603 0.0000 0.9036
Rh2 Rh 0.4845 0.0000 0.4938
```

***

Record 6
Material: LiMgAu3
Method: DFT, PBE
State: relaxed

- V: 96 Å³ per cell
- Energy above the lowest structure with this stoichiometry: 0 meV/atom

Structure (CIF):
```
data_LiMgAu3
_cell_length_a 4.4870
_cell_length_b 4.4870
_cell_length_c 5.5030
_cell_angle_alpha 90.00
_cell_angle_beta 90.00
_cell_angle_gamma 120.00
_symmetry_space_group_name_H-M 'P 3 m 1'
_symmetry_Int_Tables_number 156
_symmetry_space_group_name_Hall 'P 3 -2"'
loop_
_atom_site_label
_atom_site_type_symbol
_atom_site_fract_x
_atom_site_fract_y
_atom_site_fract_z
Li1 Li 0.0000 0.0000 0.0000
Mg1 Mg 0.3333 0.6667 0.5010
Au1 Au 0.3333 0.6667 0.0014
Au2 Au 0.6667 0.3333 0.2566
Au3 Au 0.6667 0.3333 0.7467
```

***

Among the records above, which one has the lowest V?
LiMgAu3

***

Which of these has the lowest V?
LiMgAu3